Record 1
Below is a relaxed structure of Pm4SmErS8, with properties calculated at the PBE level.

```
Pm4SmErS8
1.0
4.115 2.376 6.714
-4.115 2.376 6.714
0.000 -4.751 6.714
Pm Sm Er S
4 1 1 8
Direct
0.000 0.000 0.000 Pm
0.129 0.623 0.623 Pm
0.623 0.129 0.623 Pm
0.623 0.623 0.129 Pm
0.623 0.623 0.623 Sm
0.250 0.250 0.250 Er
0.378 0.378 0.378 S
0.379 0.379 0.863 S
0.379 0.863 0.379 S
0.400 0.866 0.866 S
0.863 0.379 0.379 S
0.866 0.400 0.866 S
0.866 0.866 0.400 S
0.867 0.867 0.867 S
```

Computed properties:
SG = R3m, No. 160
Calculated volume = 394 Å³ per cell
Formation energy from raw total energies = -1.918 eV/atom
Magnetization = 0.000 μB per atom


Record 2
Below is a relaxed structure of PmSm4ErS8, with properties calculated at the PBE level.

```
PmSm4ErS8
1.0
4.102 2.368 6.702
-4.102 2.368 6.702
0.000 -4.736 6.702
Pm Sm Er S
1 4 1 8
Direct
0.000 0.000 0.000 Pm
0.000 0.000 0.504 Sm
0.000 0.504 0.000 Sm
0.376 0.376 0.376 Sm
0.504 0.000 0.000 Sm
0.626 0.626 0.626 Er
0.239 0.754 0.754 S
0.243 0.243 0.243 S
0.244 0.244 0.775 S
0.244 0.775 0.244 S
0.754 0.239 0.754 S
0.754 0.754 0.239 S
0.756 0.756 0.756 S
0.775 0.244 0.244 S
```

Computed properties:
SG = R3m, No. 160
Calculated volume = 391 Å³ per cell
Formation energy from raw total energies = -1.918 eV/atom
Magnetization = 0.000 μB per atom


Please write out number 1 again, unchanged.
Below is a relaxed structure of Pm4SmErS8, with properties calculated at the PBE level.

```
Pm4SmErS8
1.0
4.115 2.376 6.714
-4.115 2.376 6.714
0.000 -4.751 6.714
Pm Sm Er S
4 1 1 8
Direct
0.000 0.000 0.000 Pm
0.129 0.623 0.623 Pm
0.623 0.129 0.623 Pm
0.623 0.623 0.129 Pm
0.623 0.623 0.623 Sm
0.250 0.250 0.250 Er
0.378 0.378 0.378 S
0.379 0.379 0.863 S
0.379 0.863 0.379 S
0.400 0.866 0.866 S
0.863 0.379 0.379 S
0.866 0.400 0.866 S
0.866 0.866 0.400 S
0.867 0.867 0.867 S
```

Computed properties:
SG = R3m, No. 160
Calculated volume = 394 Å³ per cell
Formation energy from raw total energies = -1.918 eV/atom
Magnetization = 0.000 μB per atom